# SmUIr

An optimized crystal structure of SmUIr (PBE-GGA, Alexandria).

It has space group Fddd (No. 70, origin choice 2), with a = 6.154 Å, b = 12.752 Å, c = 15.006 Å, α = 90.00°, β = 90.00° and γ = 90.00°. The inequivalent atoms are Sm at (0.125, 0.125, 0.020), U at (0.125, 0.125, 0.453) and Ir at (0.125, 0.018, 0.625).

The calculation puts the total energy at -8.3871 eV per atom.

=====

# SmVIr2

An optimized crystal structure of SmVIr2 (PBE-GGA, Alexandria).

It has space group R-3m (No. 166, hexagonal axes), with a = 4.2233 Å, b = 4.2233 Å, c = 15.4072 Å, α = 90.00°, β = 90.00° and γ = 120.00°. The inequivalent atoms are Sm at (0.0000, 0.0000, 0.0000), V at (0.0000, 0.0000, 0.5000) and Ir at (0.0000, 0.0000, 0.2087).

The calculation puts the total energy at -8.2881 eV per atom.

=====

# SmY3Ir4

An optimized crystal structure of SmY3Ir4 (PBE-GGA, Alexandria).

It has space group Pmmm (No. 47), with a = 3.609 Å, b = 4.772 Å, c = 9.542 Å, α = 90.00°, β = 90.00° and γ = 90.00°. The inequivalent atoms are Sm at (0.000, 0.000, 0.000), Y at (0.000, 0.000, 0.500), Y at (0.000, 0.500, 0.252), Ir at (0.500, 0.000, 0.253), Ir at (0.500, 0.500, 0.000) and Ir at (0.500, 0.500, 0.500).

The calculation puts the total energy at -8.1890 eV per atom.